# 1
First-principles (PBE) data for a geometry-optimized Mg2Co structure, as listed in Alexandria via LeMat-Bulk.

a = 8.3127 Å, b = 8.3127 Å, c = 8.3127 Å
α = 60.00°, β = 60.00°, γ = 60.00°
Element x y z (fractional)
Mg1 0.5000 0.0000 0.0000
Mg2 0.5000 0.5000 0.5000
Mg3 0.3217 0.3217 0.4283
Mg4 0.6783 0.0717 0.1783
Mg5 0.3217 0.9283 0.4283
Mg6 0.0717 0.0717 0.1783
Mg7 0.0717 0.6783 0.1783
Mg8 0.6783 0.6783 0.5717
Mg9 0.9283 0.9283 0.8217
Mg10 0.3217 0.9283 0.8217
Mg11 0.9283 0.3217 0.8217
Mg12 0.5000 0.5000 0.0000
Mg13 0.0717 0.6783 0.5717
Mg14 0.0000 0.5000 0.0000
Mg15 0.9283 0.3217 0.4283
Mg16 0.6783 0.0717 0.5717
Co1 0.2981 0.6056 0.7981
Co2 0.7019 0.7019 0.8944
Co3 0.2981 0.2981 0.7981
Co4 0.2981 0.2981 0.1056
Co5 0.7019 0.7019 0.2019
Co6 0.3944 0.7019 0.2019
Co7 0.6056 0.2981 0.7981
Co8 0.7019 0.3944 0.2019

***

# 2
First-principles (PBE) data for a geometry-optimized Th8Os3RhS4 structure, as listed in Alexandria via LeMat-Bulk.

Raw formation energy (eV/f.u.): -17.95

a = 8.1540 Å, b = 8.5550 Å, c = 8.1541 Å
α = 118.46°, β = 120.00°, γ = 90.00°
Element x y z (fractional)
S1 0.5000 0.0000 0.0000
S2 0.5000 0.0000 0.5000
S3 0.0000 0.0000 0.0000
S4 0.0000 0.0000 0.5000
Th1 0.7417 0.7250 0.4834
Th2 0.7563 0.2750 0.0186
Th3 0.2437 0.7250 0.4873
Th4 0.2623 0.2750 0.0186
Th5 0.2583 0.2750 0.5166
Th6 0.7377 0.7250 0.9814
Th7 0.2437 0.7250 0.9814
Th8 0.7563 0.2750 0.5127
Os1 0.5000 0.5000 0.5000
Os2 0.0000 0.5000 0.5000
Os3 0.5000 0.5000 0.0000
Rh1 0.0000 0.5000 0.0000

***

# 3
First-principles (PBE) data for a geometry-optimized NiSbS2Cl structure, as listed in Alexandria via LeMat-Bulk.

Distance to the lowest polymorph of the same formula (meV per atom): 0
Raw formation energy (eV/f.u.): 0.25

a = 4.5904 Å, b = 4.5904 Å, c = 4.4336 Å
α = 90.00°, β = 90.00°, γ = 90.00°
Element x y z (fractional)
S1 0.5000 0.0000 0.0000
S2 0.0000 0.5000 0.0000
Cl1 0.0000 0.0000 0.5000
Ni1 0.0000 0.0000 0.0000
Sb1 0.5000 0.5000 0.5000

***

# 4
First-principles (PBE) data for a geometry-optimized Sc3CoTc structure, as listed in Alexandria via LeMat-Bulk.

Distance to the lowest polymorph of the same formula (meV per atom): 0

a = 4.6872 Å, b = 4.6872 Å, c = 4.6872 Å
α = 90.00°, β = 90.00°, γ = 90.00°
Element x y z (fractional)
Sc1 0.0000 0.0000 0.5000
Sc2 0.0000 0.5000 0.0000
Sc3 0.5000 0.0000 0.0000
Tc1 0.5000 0.5000 0.5000
Co1 0.0000 0.0000 0.0000

***

# 5
First-principles (PBE) data for a geometry-optimized BaThIrO6 structure, as listed in Alexandria via LeMat-Bulk.

Raw formation energy (eV/f.u.): -19.54

a = 7.6436 Å, b = 7.3007 Å, c = 7.2730 Å
α = 120.13°, β = 121.70°, γ = 90.00°
Element x y z (fractional)
O1 0.5458 0.4085 0.7346
O2 0.5458 0.8261 0.7346
O3 0.4542 0.1739 0.2654
O4 0.1889 0.4085 0.7346
O5 0.4542 0.5915 0.2654
O6 0.1294 0.8794 0.2587
O7 0.1889 0.8261 0.7346
O8 0.8111 0.5915 0.2654
O9 0.8706 0.1206 0.7413
O10 0.4191 0.1691 0.8381
O11 0.5809 0.8309 0.1619
O12 0.8111 0.1739 0.2654
Ba1 0.1609 0.4109 0.3218
Ba2 0.8391 0.5891 0.6782
Ir1 0.5000 0.5000 0.0000
Ir2 0.5000 0.0000 0.0000
Th1 0.0000 0.0000 0.5000
Th2 0.5000 0.0000 0.5000

***

# 6
First-principles (PBE) data for a geometry-optimized Ta2CdHg structure, as listed in Alexandria via LeMat-Bulk.

Distance to the lowest polymorph of the same formula (meV per atom): 144

a = 10.3940 Å, b = 10.3940 Å, c = 10.3940 Å
α = 16.57°, β = 16.57°, γ = 16.57°
Element x y z (fractional)
Hg1 0.7477 0.7477 0.7477
Ta1 0.2514 0.2514 0.2514
Ta2 0.9991 0.9991 0.9991
Cd1 0.5018 0.5018 0.5018

***

# 7
First-principles (PBE) data for a geometry-optimized LuZn4Pt structure, as listed in Alexandria via LeMat-Bulk.

a = 5.1382 Å, b = 5.1382 Å, c = 5.1382 Å
α = 60.00°, β = 60.00°, γ = 60.00°
Element x y z (fractional)
Pt1 0.0000 0.0000 0.0000
Lu1 0.2500 0.2500 0.2500
Zn1 0.6254 0.1237 0.6254
Zn2 0.1237 0.6254 0.6254
Zn3 0.6254 0.6254 0.6254
Zn4 0.6254 0.6254 0.1237

***

# 8
First-principles (PBE) data for a geometry-optimized ThAlSe2 structure, as listed in Alexandria via LeMat-Bulk.

Raw formation energy (eV/f.u.): -2.58

a = 3.7072 Å, b = 3.7072 Å, c = 8.9928 Å
α = 78.10°, β = 78.10°, γ = 60.00°
Element x y z (fractional)
Se1 0.8881 0.8881 0.3358
Se2 0.1119 0.1119 0.6642
Th1 0.0000 0.0000 0.0000
Al1 0.5000 0.5000 0.5000

***

# 9
First-principles (PBE) data for a geometry-optimized TbDy3Er2S6 structure, as listed in Alexandria via LeMat-Bulk.

Raw formation energy (eV/f.u.): -23.84

a = 6.7508 Å, b = 6.7508 Å, c = 6.7454 Å
α = 99.56°, β = 99.56°, γ = 120.22°
Element x y z (fractional)
Dy1 0.1648 0.8352 0.5000
Dy2 0.8352 0.1648 0.5000
Dy3 0.5000 0.5000 0.5000
S1 0.9172 0.5801 0.7515
S2 0.7453 0.7453 0.2472
S3 0.0828 0.4199 0.2485
S4 0.4199 0.0828 0.2485
S5 0.5801 0.9172 0.7515
S6 0.2547 0.2547 0.7528
Tb1 0.0000 0.0000 0.0000
Er1 0.3336 0.6664 0.0000
Er2 0.6664 0.3336 0.0000

***

# 10
First-principles (PBE) data for a geometry-optimized Th3S4 structure, as listed in Alexandria via LeMat-Bulk.

Distance to the lowest polymorph of the same formula (meV per atom): 0
Raw formation energy (eV/f.u.): -13.04

a = 5.6726 Å, b = 5.6726 Å, c = 5.6726 Å
α = 90.00°, β = 90.00°, γ = 90.00°
Element x y z (fractional)
S1 0.0000 0.0000 0.0000
S2 0.0000 0.5000 0.5000
S3 0.5000 0.5000 0.0000
S4 0.5000 0.0000 0.5000
Th1 0.5000 0.0000 0.0000
Th2 0.0000 0.0000 0.5000
Th3 0.0000 0.5000 0.0000

***

# 11
First-principles (PBE) data for a geometry-optimized PmNdAs structure, as listed in Alexandria via LeMat-Bulk.

Distance to the lowest polymorph of the same formula (meV per atom): 148

a = 3.8487 Å, b = 3.8487 Å, c = 6.3008 Å
α = 107.78°, β = 107.78°, γ = 90.00°
Element x y z (fractional)
Pm1 0.9780 0.9780 0.9560
Nd1 0.2582 0.2582 0.5164
As1 0.6138 0.6138 0.2276

***

# 12
First-principles (PBE) data for a geometry-optimized Mg2SiB structure, as listed in Alexandria via LeMat-Bulk.

Distance to the lowest polymorph of the same formula (meV per atom): 411
Raw formation energy (eV/f.u.): 1.63

a = 8.9815 Å, b = 8.9815 Å, c = 6.6123 Å
α = 47.22°, β = 47.22°, γ = 90.00°
Element x y z (fractional)
Mg1 0.8750 0.7359 0.7500
Mg2 0.4859 0.1250 0.2500
Mg3 0.2641 0.6250 0.2500
Mg4 0.3750 0.5141 0.7500
Si1 0.7500 0.2500 0.5000
Si2 0.0000 0.0000 0.0000
B1 0.2500 0.7500 0.5000
B2 0.5000 0.5000 0.0000

***

# 13
First-principles (PBE) data for a geometry-optimized KCoTeP2 structure, as listed in Alexandria via LeMat-Bulk.

Raw formation energy (eV/f.u.): 6.83

a = 5.1643 Å, b = 6.2179 Å, c = 5.1643 Å
α = 90.00°, β = 90.00°, γ = 90.00°
Element x y z (fractional)
Co1 0.5000 0.5000 0.5000
P1 0.0000 0.0000 0.5000
P2 0.5000 0.0000 0.0000
K1 0.0000 0.5000 0.0000
Te1 0.0000 0.0000 0.0000

***

# 14
First-principles (PBE) data for a geometry-optimized GdTm2Hf structure, as listed in Alexandria via LeMat-Bulk.

Distance to the lowest polymorph of the same formula (meV per atom): 234

a = 3.3117 Å, b = 3.3117 Å, c = 12.0792 Å
α = 82.12°, β = 82.12°, γ = 60.00°
Element x y z (fractional)
Tm1 0.0865 0.0865 0.7405
Tm2 0.9135 0.9135 0.2595
Gd1 0.5000 0.5000 0.5000
Hf1 0.0000 0.0000 0.0000

***

# 15
First-principles (PBE) data for a geometry-optimized BaBeCo3 structure, as listed in Alexandria via LeMat-Bulk.

Distance to the lowest polymorph of the same formula (meV per atom): 0

a = 4.2842 Å, b = 4.2842 Å, c = 4.2842 Å
α = 90.00°, β = 90.00°, γ = 90.00°
Element x y z (fractional)
Co1 0.0000 0.5000 0.0000
Co2 0.5000 0.0000 0.0000
Co3 0.0000 0.0000 0.5000
Ba1 0.5000 0.5000 0.5000
Be1 0.0000 0.0000 0.0000

***

# 16
First-principles (PBE) data for a geometry-optimized AlWAu3 structure, as listed in Alexandria via LeMat-Bulk.

Distance to the lowest polymorph of the same formula (meV per atom): 14

a = 5.0993 Å, b = 5.0993 Å, c = 5.0993 Å
α = 90.00°, β = 90.00°, γ = 90.00°
Element x y z (fractional)
W1 0.0000 0.0000 0.0000
Au1 0.0000 0.5000 0.0000
Au2 0.5000 0.0000 0.0000
Au3 0.0000 0.0000 0.5000
Al1 0.5000 0.5000 0.5000

***

# 17
First-principles (PBE) data for a geometry-optimized TaGaI2O structure, as listed in Alexandria via LeMat-Bulk.

Distance to the lowest polymorph of the same formula (meV per atom): 0
Raw formation energy (eV/f.u.): -3.07

a = 5.8526 Å, b = 5.8526 Å, c = 3.9134 Å
α = 90.00°, β = 90.00°, γ = 90.00°
Element x y z (fractional)
I1 0.5000 0.0000 0.0000
I2 0.0000 0.5000 0.0000
Ga1 0.5000 0.5000 0.5000
Ta1 0.0000 0.0000 0.0000
O1 0.0000 0.0000 0.5000

***

# 18
First-principles (PBE) data for a geometry-optimized KRuO4 structure, as listed in Alexandria via LeMat-Bulk.

Distance to the lowest polymorph of the same formula (meV per atom): 0
Raw formation energy (eV/f.u.): -6.69

a = 7.7126 Å, b = 7.7126 Å, c = 7.7126 Å
α = 136.12°, β = 136.12°, γ = 63.79°
Element x y z (fractional)
O1 0.7863 0.3999 0.8370
O2 0.1499 0.8129 0.1136
O3 0.6993 0.0363 0.8864
O4 0.1871 0.3007 0.3370
O5 0.5629 0.9493 0.1630
O6 0.9637 0.8501 0.6630
O7 0.0507 0.2137 0.6136
O8 0.6001 0.4371 0.3864
K1 0.2500 0.7500 0.5000
K2 0.5000 0.5000 0.0000
Ru1 0.7500 0.2500 0.5000
Ru2 0.0000 0.0000 0.0000

***

# 19
First-principles (PBE) data for a geometry-optimized VCrCdRu2 structure, as listed in Alexandria via LeMat-Bulk.

a = 4.4871 Å, b = 4.4185 Å, c = 4.4871 Å
α = 90.00°, β = 90.00°, γ = 90.00°
Element x y z (fractional)
Cd1 0.5000 0.5000 0.5000
V1 0.0000 0.0000 0.0000
Cr1 0.0000 0.5000 0.0000
Ru1 0.0000 0.0000 0.5000
Ru2 0.5000 0.0000 0.0000

***

# 20
First-principles (PBE) data for a geometry-optimized LiCa4Ac structure, as listed in Alexandria via LeMat-Bulk.

a = 3.9939 Å, b = 3.9939 Å, c = 14.6280 Å
α = 90.00°, β = 90.00°, γ = 90.00°
Element x y z (fractional)
Li1 0.5000 0.5000 0.5000
Ca1 0.5000 0.5000 0.1860
Ca2 0.0000 0.0000 0.6323
Ca3 0.0000 0.0000 0.3677
Ca4 0.5000 0.5000 0.8140
Ac1 0.0000 0.0000 0.0000

***

# 21
First-principles (PBE) data for a geometry-optimized DyAl2Au9 structure, as listed in Alexandria via LeMat-Bulk.

a = 6.8557 Å, b = 8.8422 Å, c = 8.8422 Å
α = 81.36°, β = 67.19°, γ = 67.19°
Element x y z (fractional)
Au1 0.4142 0.4425 0.8029
Au2 0.0904 0.9425 0.3029
Au3 0.4142 0.8029 0.4425
Au4 0.6067 0.3029 0.0575
Au5 0.7829 0.8029 0.5575
Au6 0.1433 0.4425 0.1971
Au7 0.6067 0.0575 0.3029
Au8 0.0000 0.0000 0.0000
Au9 0.9671 0.6971 0.9425
Au10 0.7829 0.5575 0.8029
Au11 0.6596 0.1971 0.5575
Au12 0.6596 0.5575 0.1971
Au13 0.3358 0.6971 0.0575
Au14 0.9671 0.9425 0.6971
Au15 0.1433 0.1971 0.4425
Au16 0.7500 0.5000 0.5000
Au17 0.3358 0.0575 0.6971
Au18 0.0904 0.3029 0.9425
Dy1 0.2500 0.5000 0.5000
Dy2 0.5000 0.0000 0.0000
Al1 0.8750 0.2500 0.7500
Al2 0.3750 0.7500 0.7500
Al3 0.8750 0.2500 0.2500
Al4 0.8750 0.7500 0.2500

***

# 22
First-principles (PBE) data for a geometry-optimized Ba2LiAsF structure, as listed in Alexandria via LeMat-Bulk.

Raw formation energy (eV/f.u.): -7.55

a = 5.5371 Å, b = 5.5371 Å, c = 4.3232 Å
α = 90.00°, β = 90.00°, γ = 90.00°
Element x y z (fractional)
Li1 0.0000 0.0000 0.5000
As1 0.5000 0.5000 0.5000
Ba1 0.5000 0.0000 0.0000
Ba2 0.0000 0.5000 0.0000
F1 0.0000 0.0000 0.0000

***

# 23
First-principles (PBE) data for a geometry-optimized CoCuSe structure, as listed in Alexandria via LeMat-Bulk.

Distance to the lowest polymorph of the same formula (meV per atom): 102
Raw formation energy (eV/f.u.): 0.35

a = 3.9907 Å, b = 3.9907 Å, c = 3.9907 Å
α = 60.00°, β = 60.00°, γ = 60.00°
Element x y z (fractional)
Co1 0.7500 0.7500 0.7500
Cu1 0.0000 0.0000 0.0000
Se1 0.5000 0.5000 0.5000

***

# 24
First-principles (PBE) data for a geometry-optimized BaCd2BiPd structure, as listed in Alexandria via LeMat-Bulk.

a = 5.2542 Å, b = 5.2542 Å, c = 5.5762 Å
α = 90.00°, β = 90.00°, γ = 90.00°
Element x y z (fractional)
Cd1 0.0000 0.5000 0.0000
Cd2 0.5000 0.0000 0.0000
Pd1 0.0000 0.0000 0.0000
Bi1 0.0000 0.0000 0.5000
Ba1 0.5000 0.5000 0.5000

***

For each record above, in turn, the calculated total DFT energy (no corrections) values are -3.35 -8.43 -3.95 -6.97 -7.50 -5.92 -3.01 -5.18 -6.35 -7.40 -5.43 -3.41 -3.07 -7.88 -4.75 -4.12 -5.20 -6.15 -6.70 -2.31 -3.81 -3.97 -4.78 -2.93 eV/atom.